[1]
Below is a relaxed structure of AlFeIr2, with properties calculated at the PBE level.

abc: 2.717 2.717 8.659
angles: 90.00 90.00 117.99
Positions (direct):
Fe: 0.500 0.500 0.743
Ir: 0.500 0.500 0.266
Ir: 0.000 0.000 0.987
Al: 0.000 0.000 0.504

Values from the calculation:
V in A^3/atom: 14.1
Total moment in μB per formula unit: 2.88
Calculated formation energy in eV per atom: -0.029

[2]
Below is a relaxed structure of CuSi, with properties calculated at the PBE level.

abc: 2.617 2.617 3.830
angles: 90.00 90.00 90.00
Positions (direct):
Cu: 0.000 0.000 0.000
Si: 0.500 0.500 0.500

Values from the calculation:
V in A^3/atom: 13.1
Total moment in μB per formula unit: 0.00
Formation energy from raw total energies in kcal/mol of atoms: 4.19

[3]
Below is a relaxed structure of HfCd4Ag, with properties calculated at the PBE level.

abc: 3.151 3.151 12.537
angles: 90.00 90.00 90.00
Positions (direct):
Cd: 0.500 0.500 0.843
Cd: 0.000 0.000 0.671
Cd: 0.000 0.000 0.329
Cd: 0.500 0.500 0.157
Ag: 0.000 0.000 0.000
Hf: 0.500 0.500 0.500

Values from the calculation:
V in A^3/atom: 20.7
Total moment in μB per formula unit: 0.00
Calculated formation energy in eV per atom: -0.022

[4]
Below is a relaxed structure of La3AsO3, with properties calculated at the PBE level.

abc: 7.068 7.068 8.346
angles: 64.95 64.95 60.00
Positions (direct):
O: 0.866 0.562 0.375
O: 0.803 0.134 0.625
O: 0.197 0.866 0.375
O: 0.438 0.803 0.625
O: 0.562 0.197 0.375
O: 0.134 0.438 0.625
La: 0.094 0.742 0.709
La: 0.742 0.455 0.709
La: 0.455 0.094 0.709
La: 0.258 0.545 0.291
La: 0.545 0.906 0.291
La: 0.906 0.258 0.291
As: 0.333 0.333 0.000
As: 0.667 0.667 0.000

Values from the calculation:
V in A^3/atom: 22.5
Total moment in μB per formula unit: 0.00
Formation energy from raw total energies in kcal/mol of atoms: -65.53

[5]
Below is a relaxed structure of TlSn4S5, with properties calculated at the PBE level.

abc: 5.822 7.206 7.206
angles: 80.61 66.17 66.17
Positions (direct):
S: 0.305 0.780 0.583
S: 0.669 0.220 0.417
S: 0.889 0.417 0.780
S: 0.086 0.583 0.220
S: 0.515 0.000 0.000
Sn: 0.206 0.209 0.397
Sn: 0.414 0.397 0.791
Sn: 0.811 0.791 0.603
Sn: 0.602 0.603 0.209
Tl: 0.014 0.000 0.000

Values from the calculation:
V in A^3/atom: 25.3
Total moment in μB per formula unit: 0.00
E above lowest polymorph in eV per formula unit: 0.15
Formation energy from raw total energies in kcal/mol of atoms: -8.63

[6]
Below is a relaxed structure of NiPS2, with properties calculated at the PBE level.

abc: 5.262 5.262 6.469
angles: 66.00 66.00 90.00
Positions (direct):
Ni: 0.750 0.250 0.500
Ni: 0.000 0.000 0.000
S: 0.655 0.125 0.250
S: 0.875 0.905 0.750
S: 0.095 0.625 0.250
S: 0.375 0.345 0.750
P: 0.500 0.500 0.000
P: 0.250 0.750 0.500

Values from the calculation:
V in A^3/atom: 18.3
Total moment in μB per formula unit: 0.00
Formation energy from raw total energies in kcal/mol of atoms: 2.62

[7]
Below is a relaxed structure of Pr3S3N, with properties calculated at the PBE level.

abc: 4.070 12.390 13.271
angles: 90.00 90.00 90.00
Positions (direct):
S: 0.250 0.272 0.804
S: 0.250 0.584 0.893
S: 0.750 0.416 0.107
S: 0.250 0.772 0.696
S: 0.750 0.137 0.005
S: 0.250 0.363 0.505
S: 0.750 0.728 0.196
S: 0.750 0.637 0.495
S: 0.250 0.084 0.607
S: 0.750 0.916 0.393
S: 0.250 0.863 0.995
S: 0.750 0.228 0.304
Pr: 0.250 0.543 0.648
Pr: 0.250 0.043 0.852
Pr: 0.250 0.220 0.134
Pr: 0.250 0.080 0.372
Pr: 0.250 0.580 0.128
Pr: 0.750 0.280 0.634
Pr: 0.750 0.457 0.352
Pr: 0.750 0.957 0.148
Pr: 0.750 0.420 0.872
Pr: 0.750 0.780 0.866
Pr: 0.250 0.720 0.366
Pr: 0.750 0.920 0.628
N: 0.250 0.044 0.202
N: 0.750 0.456 0.702
N: 0.250 0.544 0.298
N: 0.750 0.956 0.798

Values from the calculation:
V in A^3/atom: 23.9
Total moment in μB per formula unit: 0.00
Formation energy from raw total energies in kcal/mol of atoms: -43.72

[8]
Below is a relaxed structure of Tb4PmEr3Se8, with properties calculated at the PBE level.

abc: 8.176 8.176 8.177
angles: 120.02 119.99 90.00
Positions (direct):
Se: 0.257 0.251 0.004
Se: 0.747 0.251 0.494
Se: 0.253 0.749 0.996
Se: 0.252 0.256 0.504
Se: 0.747 0.251 0.004
Se: 0.253 0.749 0.506
Se: 0.743 0.749 0.996
Se: 0.748 0.744 0.496
Tb: 0.500 0.000 0.000
Tb: 0.000 0.000 0.500
Tb: 0.500 0.000 0.500
Tb: 0.000 0.000 0.000
Pm: 0.000 0.500 0.000
Er: 0.000 0.500 0.500
Er: 0.500 0.500 0.000
Er: 0.500 0.500 0.500

Values from the calculation:
V in A^3/atom: 24.2
Total moment in μB per formula unit: 0.00
Formation energy from raw total energies in kcal/mol of atoms: -40.21

[9]
Below is a relaxed structure of BeAg2Rh, with properties calculated at the PBE level.

abc: 2.878 2.878 6.893
angles: 90.00 90.00 90.00
Positions (direct):
Ag: 0.000 0.000 0.464
Ag: 0.000 0.000 0.036
Be: 0.500 0.500 0.250
Rh: 0.500 0.500 0.750

Values from the calculation:
V in A^3/atom: 14.3
Total moment in μB per formula unit: 0.27
Calculated formation energy in eV per atom: 0.222

[10]
Below is a relaxed structure of GaPbBr3, with properties calculated at the PBE level.

abc: 4.602 9.434 9.607
angles: 62.43 76.14 75.88
Positions (direct):
Ga: 0.380 0.800 0.441
Ga: 0.620 0.200 0.559
Pb: 0.845 0.254 0.057
Pb: 0.155 0.746 0.943
Br: 0.267 0.151 0.315
Br: 0.733 0.849 0.685
Br: 0.653 0.541 0.152
Br: 0.038 0.140 0.784
Br: 0.962 0.860 0.216
Br: 0.347 0.459 0.848

Values from the calculation:
V in A^3/atom: 35.5
Total moment in μB per formula unit: 0.00
Formation energy from raw total energies in kcal/mol of atoms: -17.42

[11]
Below is a relaxed structure of Bi2P2H, with properties calculated at the PBE level.

abc: 5.814 5.814 5.189
angles: 55.93 55.93 90.00
Positions (direct):
P: 0.273 0.273 0.454
P: 0.727 0.727 0.546
H: 0.000 0.000 0.000
Bi: 0.750 0.250 0.500
Bi: 0.250 0.750 0.500

Values from the calculation:
V in A^3/atom: 21.4
Total moment in μB per formula unit: 0.00
E above lowest polymorph in eV per formula unit: 0.00

[12]
Below is a relaxed structure of CsCu2TcCl8, with properties calculated at the PBE level.

abc: 6.116 6.116 10.163
angles: 85.87 85.87 68.76
Positions (direct):
Cu: 0.644 0.644 0.191
Cu: 0.356 0.356 0.809
Cl: 0.747 0.225 0.168
Cl: 0.775 0.253 0.832
Cl: 0.253 0.775 0.832
Cl: 0.670 0.670 0.401
Cl: 0.225 0.747 0.168
Cl: 0.765 0.765 0.996
Cl: 0.330 0.330 0.599
Cl: 0.235 0.235 0.004
Tc: 0.000 0.000 0.000
Cs: 0.000 0.000 0.500

Values from the calculation:
V in A^3/atom: 29.4
Total moment in μB per formula unit: 1.92
Formation energy from raw total energies in kcal/mol of atoms: -19.18

[13]
Below is a relaxed structure of Pm4Sn3Au, with properties calculated at the PBE level.

abc: 4.469 4.456 11.634
angles: 90.00 90.00 90.00
Positions (direct):
Sn: 0.500 0.000 0.917
Sn: 0.000 0.500 0.591
Sn: 0.000 0.000 0.411
Pm: 0.500 0.500 0.355
Pm: 0.500 0.000 0.638
Pm: 0.000 0.000 0.134
Pm: 0.000 0.500 0.867
Au: 0.500 0.500 0.086

Values from the calculation:
V in A^3/atom: 29.0
Total moment in μB per formula unit: 0.00
Calculated formation energy in eV per atom: -0.762

[14]
Below is a relaxed structure of Hg2Pd13, with properties calculated at the PBE level.

abc: 7.075 7.075 7.953
angles: 63.59 63.59 60.00
Positions (direct):
Pd: 0.997 0.378 0.247
Pd: 0.622 0.003 0.753
Pd: 0.245 0.870 0.639
Pd: 0.378 0.378 0.247
Pd: 0.755 0.130 0.361
Pd: 0.500 0.500 0.500
Pd: 0.378 0.997 0.247
Pd: 0.003 0.622 0.753
Pd: 0.245 0.245 0.639
Pd: 0.870 0.245 0.639
Pd: 0.130 0.755 0.361
Pd: 0.622 0.622 0.753
Pd: 0.755 0.755 0.361
Hg: 0.637 0.637 0.088
Hg: 0.363 0.363 0.912

Values from the calculation:
V in A^3/atom: 19.7
Total moment in μB per formula unit: 0.00
Calculated formation energy in eV per atom: 0.330

[15]
Below is a relaxed structure of Li4In7Ga, with properties calculated at the PBE level.

abc: 5.118 8.307 7.363
angles: 80.42 69.66 72.06
Positions (direct):
In: 0.664 0.392 0.281
In: 0.336 0.608 0.719
In: 0.067 0.653 0.212
In: 0.785 0.852 0.579
In: 0.500 0.000 0.000
In: 0.933 0.347 0.788
In: 0.215 0.148 0.421
Ga: 0.000 0.000 0.000
Li: 0.307 0.353 0.032
Li: 0.571 0.213 0.646
Li: 0.429 0.787 0.354
Li: 0.693 0.647 0.968

Values from the calculation:
V in A^3/atom: 23.2
Total moment in μB per formula unit: 0.00
Calculated formation energy in eV per atom: -0.067

[16]
Below is a relaxed structure of Nd6Te3AuSe2, with properties calculated at the PBE level.

abc: 7.556 7.556 7.667
angles: 99.46 99.46 119.93
Positions (direct):
Se: 0.334 0.666 0.000
Se: 0.666 0.334 0.000
Nd: 0.409 0.076 0.230
Nd: 0.743 0.743 0.230
Nd: 0.591 0.924 0.770
Nd: 0.257 0.257 0.770
Nd: 0.924 0.591 0.770
Nd: 0.076 0.409 0.230
Au: 0.000 0.000 0.000
Te: 0.168 0.832 0.500
Te: 0.500 0.500 0.500
Te: 0.832 0.168 0.500

Values from the calculation:
V in A^3/atom: 29.9
Total moment in μB per formula unit: 0.00
Formation energy from raw total energies in kcal/mol of atoms: -34.11

[17]
Below is a relaxed structure of RbLa2ReO8, with properties calculated at the PBE level.

abc: 5.343 4.538 7.818
angles: 74.38 90.61 91.65
Positions (direct):
O: 0.277 0.831 0.904
O: 0.498 0.668 0.495
O: 0.502 0.332 0.505
O: 0.723 0.169 0.096
O: 0.007 0.327 0.792
O: 0.993 0.673 0.208
O: 0.757 0.797 0.891
O: 0.243 0.203 0.109
Re: 0.000 0.000 0.000
Rb: 0.000 0.000 0.500
La: 0.497 0.383 0.804
La: 0.503 0.617 0.196

Values from the calculation:
V in A^3/atom: 15.2
Total moment in μB per formula unit: 0.01
Formation energy from raw total energies in kcal/mol of atoms: -52.13

[18]
Below is a relaxed structure of LiCd, with properties calculated at the PBE level.

abc: 4.376 4.376 4.376
angles: 60.00 60.00 60.00
Positions (direct):
Cd: 0.000 0.000 0.000
Li: 0.750 0.750 0.750

Values from the calculation:
V in A^3/atom: 29.6
Total moment in μB per formula unit: 0.00
Calculated formation energy in eV per atom: 0.335

[19]
Below is a relaxed structure of TbHoCoPt, with properties calculated at the PBE level.

abc: 4.846 4.846 4.846
angles: 60.00 60.00 60.00
Positions (direct):
Ho: 0.000 0.000 0.000
Co: 0.750 0.750 0.750
Tb: 0.500 0.500 0.500
Pt: 0.250 0.250 0.250

Values from the calculation:
V in A^3/atom: 20.1
Total moment in μB per formula unit: 0.34
Calculated formation energy in eV per atom: -0.663

[20]
Below is a relaxed structure of MgBePt2Au, with properties calculated at the PBE level.

abc: 4.256 4.256 4.439
angles: 90.00 90.00 90.00
Positions (direct):
Au: 0.000 0.000 0.500
Pt: 0.000 0.500 0.000
Pt: 0.500 0.000 0.000
Mg: 0.500 0.500 0.500
Be: 0.000 0.000 0.000

Values from the calculation:
V in A^3/atom: 16.1
Total moment in μB per formula unit: 0.00
Calculated formation energy in eV per atom: -0.360